No. 1
Li2Pr3Cu9 | PBE | relaxed Values from VASP.

Calculated values
- Energy of formation: -0.13 eV/atom
- SG: Immm, No. 71
- Total magnetization: 0.0 μB/cell

```
&SYSTEM
  ibrav = 0, nat = 14, ntyp = 3
/
ATOMIC_SPECIES
Cu 63.55 Cu.upf
Pr 140.91 Pr.upf
Li 6.94 Li.upf
ATOMIC_POSITIONS crystal
Cu 0.873 0.413 0.841
Cu 0.000 0.500 0.500
Cu 0.667 0.685 0.980
Pr 0.293 0.707 0.707
Pr 0.707 0.293 0.293
Cu 0.333 0.315 0.020
Cu 0.127 0.587 0.159
Li 0.500 0.305 0.695
Cu 0.127 0.159 0.587
Li 0.500 0.695 0.305
Cu 0.667 0.980 0.685
Pr 0.000 0.000 0.000
Cu 0.873 0.841 0.413
Cu 0.333 0.020 0.315
CELL_PARAMETERS angstrom
4.318 0.000 0.000
2.159 7.750 0.530
2.159 2.273 7.428
```

No. 2
LiPr2Cu16 | PBE | relaxed Values from VASP.

Calculated values
- Energy of formation: -0.11 eV/atom
- SG: R3m, No. 160
- Total magnetization: 0.0 μB/cell

```
&SYSTEM
  ibrav = 0, nat = 19, ntyp = 3
/
ATOMIC_SPECIES
Cu 63.55 Cu.upf
Pr 140.91 Pr.upf
Li 6.94 Li.upf
ATOMIC_POSITIONS crystal
Cu 0.001 0.499 0.001
Cu 0.707 0.295 0.000
Cu 0.342 0.342 0.846
Cu 0.098 0.098 0.098
Cu 0.342 0.846 0.342
Cu 0.000 0.295 0.707
Cu 0.656 0.155 0.656
Cu 0.000 0.707 0.295
Cu 0.707 0.000 0.295
Cu 0.295 0.707 0.000
Pr 0.652 0.652 0.652
Cu 0.155 0.656 0.656
Pr 0.340 0.340 0.340
Cu 0.846 0.342 0.342
Cu 0.295 0.000 0.707
Cu 0.656 0.656 0.155
Cu 0.001 0.001 0.499
Li 0.908 0.908 0.908
Cu 0.499 0.001 0.001
CELL_PARAMETERS angstrom
-0.808 4.113 5.023
5.185 -1.933 3.489
4.143 4.628 -2.051
```

No. 3
Li2PrCu | PBE | relaxed Values from VASP.

Calculated values
- ΔE to the lowest computed polymorph: 0 meV/atom
- Energy of formation: 0.11 eV/atom
- SG: P4/mmm, No. 123
- Total magnetization: 0.0 μB/cell

```
&SYSTEM
  ibrav = 0, nat = 4, ntyp = 3
/
ATOMIC_SPECIES
Cu 63.55 Cu.upf
Li 6.94 Li.upf
Pr 140.91 Pr.upf
ATOMIC_POSITIONS crystal
Cu 0.500 0.500 0.000
Li 0.000 0.000 0.827
Li 0.000 0.000 0.173
Pr 0.500 0.500 0.500
CELL_PARAMETERS angstrom
-2.868 -1.641 0.339
-0.011 -0.654 -3.257
3.702 -6.213 1.235
```

No. 4
Li2PrCu2 | PBE | relaxed Values from VASP.

Calculated values
- ΔE to the lowest computed polymorph: 0 meV/atom
- Energy of formation: -0.10 eV/atom
- SG: Imma, No. 74
- Total magnetization: 0.0 μB/cell

```
&SYSTEM
  ibrav = 0, nat = 10, ntyp = 3
/
ATOMIC_SPECIES
Li 6.94 Li.upf
Cu 63.55 Cu.upf
Pr 140.91 Pr.upf
ATOMIC_POSITIONS crystal
Li 0.452 0.702 0.904
Cu 0.380 0.130 0.759
Li 0.950 0.200 0.901
Cu 0.278 0.028 0.556
Pr 0.173 0.423 0.347
Li 0.548 0.298 0.096
Pr 0.827 0.577 0.653
Li 0.050 0.800 0.099
Cu 0.722 0.972 0.444
Cu 0.620 0.870 0.241
CELL_PARAMETERS angstrom
3.963 0.000 -0.761
-0.145 3.856 -0.757
0.373 0.491 12.641
```